Record 1
BaNbSiO6: relaxed, PBE-GGA.

Results
Uncorrected energy, eV/cell: -69.28
Raw formation energy, eV per atom: -2.46
D(E_F), states/eV/f.u.: 4.63

Cell lengths 5.1815, 5.1815, 5.6946 Å; angles 90.00, 90.00, 120.00 degrees
Last column: nearest neighbours and their distance in Å.
Element x y z (fractional)
1 Ba 0.0000 0.0000 0.0000  6 O 2.73
2 Nb 0.3333 0.6667 0.5000  6 O 2.01
3 Si 0.6667 0.3333 0.5000  6 O 1.81
4 O 0.4095 0.0292 0.6841  1 Si 1.81, 1 Nb 2.01
5 O 0.4095 0.3803 0.3159  1 Si 1.81, 1 Nb 2.01
6 O 0.6197 0.0292 0.3159  1 Si 1.81, 1 Nb 2.01
7 O 0.6197 0.5905 0.6841  1 Si 1.81, 1 Nb 2.01
8 O 0.9708 0.3803 0.6841  1 Si 1.81, 1 Nb 2.01
9 O 0.9708 0.5905 0.3159  1 Si 1.81, 1 Nb 2.01

Record 2
BaNb10SiO19: relaxed, PBE-GGA.

Results
Uncorrected energy, eV/cell: -556.61
Raw formation energy, eV per atom: -2.45
D(E_F), states/eV/f.u.: 5.52

Cell lengths 7.8633, 7.8633, 14.6994 Å; angles 90.00, 90.00, 120.00 degrees
Last column: nearest neighbours and their distance in Å.
Element x y z (fractional)
1 Ba 0.3333 0.6667 0.0000  12 O 2.85-3.02
2 Ba 0.6667 0.3333 0.5000  12 O 2.85-3.02
3 Nb 0.0477 0.8199 0.4197  6 O 2.06-2.22
4 Nb 0.1136 0.6376 0.7542  5 O 2.08-2.25
5 Nb 0.1365 0.4493 0.5929  5 O 2.07-2.25
6 Nb 0.1801 0.2278 0.4197  6 O 2.06-2.22
7 Nb 0.2278 0.0477 0.9197  6 O 2.06-2.22
8 Nb 0.3128 0.8635 0.5929  5 O 2.07-2.25
9 Nb 0.3333 0.6667 0.2604  6 O 2.00-2.08
10 Nb 0.3624 0.4760 0.7542  5 O 2.08-2.25
11 Nb 0.4493 0.3128 0.0929  5 O 2.07-2.25
12 Nb 0.4760 0.1136 0.2542  5 O 2.08-2.25
13 Nb 0.5240 0.8864 0.7542  5 O 2.08-2.25
14 Nb 0.5507 0.6872 0.5929  5 O 2.07-2.25
15 Nb 0.6376 0.5240 0.2542  5 O 2.08-2.25
16 Nb 0.6667 0.3333 0.7604  6 O 2.00-2.08
17 Nb 0.6872 0.1365 0.0929  5 O 2.07-2.25
18 Nb 0.7722 0.9523 0.4197  6 O 2.06-2.22
19 Nb 0.8199 0.7722 0.9197  6 O 2.06-2.22
20 Nb 0.8635 0.5507 0.0929  5 O 2.07-2.25
21 Nb 0.8864 0.3624 0.2542  5 O 2.08-2.25
22 Nb 0.9523 0.1801 0.9197  6 O 2.06-2.22
23 Si 0.0000 0.0000 0.2035  4 O 1.64-1.67
24 Si 0.0000 0.0000 0.7035  4 O 1.64-1.67
25 O 0.0000 0.0000 0.3172  1 Si 1.67
26 O 0.0000 0.0000 0.8172  1 Si 1.67
27 O 0.0513 0.7931 0.9947  3 Nb 2.06-2.25
28 O 0.0793 0.8513 0.6739  1 Si 1.64
29 O 0.0949 0.6409 0.5117  3 Nb 2.07-2.11
30 O 0.0996 0.5930 0.1728  3 Nb 2.08-2.12
31 O 0.1342 0.4357 0.8402  3 Nb 2.08-2.14
32 O 0.1487 0.2279 0.6739  1 Si 1.64
33 O 0.1582 0.4239 0.3311  2 Nb 2.00-2.09
34 O 0.2069 0.2581 0.9947  3 Nb 2.06-2.25
35 O 0.2279 0.0793 0.1739  1 Si 1.64
36 O 0.2581 0.0513 0.4947  3 Nb 2.06-2.25
37 O 0.2657 0.8418 0.3311  2 Nb 2.00-2.09
38 O 0.3015 0.8658 0.8402  3 Nb 2.08-2.14
39 O 0.3591 0.4540 0.5117  3 Nb 2.07-2.11
40 O 0.4070 0.5066 0.1728  3 Nb 2.08-2.12
41 O 0.4239 0.2657 0.8311  2 Nb 2.00-2.09
42 O 0.4357 0.3015 0.3402  3 Nb 2.08-2.14
43 O 0.4540 0.0949 0.0117  3 Nb 2.07-2.11
44 O 0.4934 0.9004 0.1728  3 Nb 2.08-2.12
45 O 0.5066 0.0996 0.6728  3 Nb 2.08-2.12
46 O 0.5460 0.9051 0.5117  3 Nb 2.07-2.11
47 O 0.5643 0.6985 0.8402  3 Nb 2.08-2.14
48 O 0.5761 0.7343 0.3311  2 Nb 2.00-2.09
49 O 0.5930 0.4934 0.6728  3 Nb 2.08-2.12
50 O 0.6409 0.5460 0.0117  3 Nb 2.07-2.11
51 O 0.6985 0.1342 0.3402  3 Nb 2.08-2.14
52 O 0.7343 0.1582 0.8311  2 Nb 2.00-2.09
53 O 0.7419 0.9487 0.9947  3 Nb 2.06-2.25
54 O 0.7721 0.9207 0.6739  1 Si 1.64
55 O 0.7931 0.7419 0.4947  3 Nb 2.06-2.25
56 O 0.8418 0.5761 0.8311  2 Nb 2.00-2.09
57 O 0.8513 0.7721 0.1739  1 Si 1.64
58 O 0.8658 0.5643 0.3402  3 Nb 2.08-2.14
59 O 0.9004 0.4070 0.6728  3 Nb 2.08-2.12
60 O 0.9051 0.3591 0.0117  3 Nb 2.07-2.11
61 O 0.9207 0.1487 0.1739  1 Si 1.64
62 O 0.9487 0.2069 0.4947  3 Nb 2.06-2.25

Record 3
BaNbSi2O8: relaxed, PBE-GGA.

Results
Uncorrected energy, eV/cell: -93.50
Raw formation energy, eV per atom: -2.58
D(E_F), states/eV/f.u.: 5.19

Cell lengths 5.4012, 5.4012, 7.4317 Å; angles 90.00, 90.00, 120.00 degrees
Last column: nearest neighbours and their distance in Å.
Element x y z (fractional)
1 Ba 0.0000 0.0000 0.0000  12 O 2.96-3.14
2 Nb 0.0000 0.0000 0.5000  6 O 1.99
3 Si 0.3333 0.6667 0.7362  4 O 1.64
4 Si 0.6667 0.3333 0.2638  4 O 1.64
5 O 0.1669 0.3369 0.6631  1 Si 1.64
6 O 0.1700 0.8331 0.6631  1 Si 1.64
7 O 0.3333 0.6667 0.9562  1 Si 1.64
8 O 0.3369 0.1700 0.3369  1 Si 1.64
9 O 0.6631 0.8300 0.6631  1 Si 1.64
10 O 0.6667 0.3333 0.0438  1 Si 1.64
11 O 0.8300 0.1669 0.3369  1 Si 1.64
12 O 0.8331 0.6631 0.3369  1 Si 1.64

Record 4
Ba2NbSiO6: relaxed, PBE-GGA.

Results
Uncorrected energy, eV/cell: -75.18
Raw formation energy, eV per atom: -2.61
D(E_F), states/eV/f.u.: 3.20

Cell lengths 5.6381, 5.6381, 5.6381 Å; angles 60.00, 60.00, 60.00 degrees
Last column: nearest neighbours and their distance in Å.
Element x y z (fractional)
1 Ba 0.2500 0.2500 0.2500  12 O 2.82
2 Ba 0.7500 0.7500 0.7500  12 O 2.82
3 Nb 0.0000 0.0000 0.0000  6 O 2.12
4 Si 0.5000 0.5000 0.5000  6 O 1.86
5 O 0.2662 0.2662 0.7338  1 Si 1.86
6 O 0.2662 0.7338 0.2662  1 Si 1.86
7 O 0.2662 0.7338 0.7338  1 Si 1.86
8 O 0.7338 0.2662 0.2662  1 Si 1.86
9 O 0.7338 0.2662 0.7338  1 Si 1.86
10 O 0.7338 0.7338 0.2662  1 Si 1.86

Record 5
Ba6Ti2Nb10Si8O51: relaxed, PBE-GGA.

Results
Uncorrected energy, eV/cell: -641.07
Raw formation energy, eV per atom: -2.82
D(E_F), states/eV/f.u.: 0.00

Cell lengths 12.0606, 12.0606, 9.1245 Å; angles 112.14, 112.14, 81.98 degrees
Last column: nearest neighbours and their distance in Å.
Element x y z (fractional)
1 Ba 0.0000 0.0000 0.0000  11 O 2.86-3.18
2 Ba 0.2034 0.2034 0.8235  11 O 2.85-3.16
3 Ba 0.3048 0.3048 0.4154  12 O 2.87-3.20
4 Ba 0.5000 0.5000 0.0092  12 O 2.91-3.20
5 Ba 0.7079 0.7079 0.8302  11 O 2.85-3.16
6 Ba 0.8071 0.8071 0.4147  12 O 2.85-3.13
7 Ti 0.2703 0.9817 0.4143  1 O 1.74
8 Ti 0.9817 0.2703 0.4143  1 O 1.74
9 Nb 0.0159 0.7621 0.1779  6 O 1.92-2.14
10 Nb 0.1341 0.8800 0.6510  6 O 1.93-2.12
11 Nb 0.2537 0.5107 0.1742  6 O 1.94-2.09
12 Nb 0.3744 0.6311 0.6577  6 O 1.94-2.08
13 Nb 0.4980 0.7441 0.4160  6 O 1.95-2.07
14 Nb 0.5107 0.2537 0.1742  6 O 1.94-2.09
15 Nb 0.6311 0.3744 0.6577  6 O 1.94-2.08
16 Nb 0.7441 0.4980 0.4160  6 O 1.95-2.07
17 Nb 0.7621 0.0159 0.1779  6 O 1.92-2.14
18 Nb 0.8800 0.1341 0.6510  6 O 1.93-2.12
19 Si 0.0219 0.3147 0.0918  4 O 1.62-1.65
20 Si 0.1822 0.4756 0.7378  4 O 1.62-1.65
21 Si 0.3147 0.0219 0.0918  4 O 1.62-1.65
22 Si 0.4756 0.1822 0.7378  4 O 1.62-1.65
23 Si 0.5215 0.8199 0.0876  4 O 1.62-1.64
24 Si 0.6863 0.9840 0.7427  4 O 1.62-1.64
25 Si 0.8199 0.5215 0.0876  4 O 1.62-1.64
26 Si 0.9840 0.6863 0.7427  4 O 1.62-1.64
27 O 0.0040 0.0040 0.6550  2 Nb 2.01
28 O 0.0227 0.7990 0.7154  1 Si 1.63
29 O 0.0455 0.7854 0.4147  2 Nb 1.96-1.97
30 O 0.0490 0.2570 0.2397  1 Si 1.65
31 O 0.0778 0.5757 0.7318  2 Si 1.62
32 O 0.1195 0.6193 0.1433  2 Nb 1.94-1.98
33 O 0.1308 0.8846 0.2473  1 Nb 1.92, 1 Ti 1.95
34 O 0.1364 0.3445 0.5876  1 Si 1.65
35 O 0.1495 0.3678 0.1201  1 Si 1.64
36 O 0.2053 0.9859 0.9085  1 Si 1.64
37 O 0.2160 0.9682 0.5840  1 Nb 1.93, 1 Ti 1.96
38 O 0.2334 0.4544 0.9191  1 Si 1.64
39 O 0.2552 0.7553 0.6872  2 Nb 1.94-1.98
40 O 0.2570 0.0490 0.2397  1 Si 1.65
41 O 0.2868 0.5449 0.4153  2 Nb 1.97-1.98
42 O 0.2972 0.5162 0.7150  1 Si 1.64
43 O 0.3445 0.1364 0.5876  1 Si 1.65
44 O 0.3678 0.1495 0.1201  1 Si 1.64
45 O 0.3714 0.6339 0.2350  2 Nb 1.96-1.98
46 O 0.3859 0.3859 0.1745  2 Nb 2.03
47 O 0.3941 0.8886 0.4147  1 Ti 1.74
48 O 0.4170 0.9197 0.0973  2 Si 1.62
49 O 0.4544 0.2334 0.9191  1 Si 1.64
50 O 0.4612 0.7223 0.5938  2 Nb 1.95-1.98
51 O 0.4811 0.7054 0.9083  1 Si 1.64
52 O 0.5043 0.5043 0.6565  2 Nb 2.03
53 O 0.5162 0.2972 0.7150  1 Si 1.64
54 O 0.5449 0.2868 0.4153  2 Nb 1.97-1.98
55 O 0.5508 0.7632 0.2358  1 Si 1.64
56 O 0.5757 0.0778 0.7318  2 Si 1.62
57 O 0.6133 0.6133 0.4125  2 Nb 1.95
58 O 0.6193 0.1195 0.1433  2 Nb 1.94-1.98
59 O 0.6339 0.3714 0.2350  2 Nb 1.96-1.98
60 O 0.6407 0.8518 0.5980  1 Si 1.64
61 O 0.6466 0.8710 0.1083  1 Si 1.63
62 O 0.7054 0.4811 0.9083  1 Si 1.64
63 O 0.7223 0.4612 0.5938  2 Nb 1.95-1.98
64 O 0.7403 0.9639 0.9248  1 Si 1.64
65 O 0.7553 0.2552 0.6872  2 Nb 1.94-1.98
66 O 0.7632 0.5508 0.2358  1 Si 1.64
67 O 0.7854 0.0455 0.4147  2 Nb 1.96-1.97
68 O 0.7990 0.0227 0.7154  1 Si 1.63
69 O 0.8518 0.6407 0.5980  1 Si 1.64
70 O 0.8710 0.6466 0.1083  1 Si 1.63
71 O 0.8821 0.8821 0.1736  2 Nb 2.01
72 O 0.8846 0.1308 0.2473  1 Nb 1.92, 1 Ti 1.95
73 O 0.8886 0.3941 0.4147  1 Ti 1.74
74 O 0.9197 0.4170 0.0973  2 Si 1.62
75 O 0.9639 0.7403 0.9248  1 Si 1.64
76 O 0.9682 0.2160 0.5840  1 Nb 1.93, 1 Ti 1.96
77 O 0.9859 0.2053 0.9085  1 Si 1.64

Record 6
Ba3SmNb2O9: relaxed, PBE-GGA.

Results
Uncorrected energy, eV/cell: -118.70
Raw formation energy, eV per atom: -2.90
D(E_F), states/eV/f.u.: 3.87

Cell lengths 6.0283, 6.0283, 7.4355 Å; angles 90.00, 90.00, 120.00 degrees
Last column: nearest neighbours and their distance in Å.
Element x y z (fractional)
1 Ba 0.0000 0.0000 0.0000  12 O 2.98-3.01
2 Ba 0.3333 0.6667 0.6760  12 O 2.97-3.15
3 Ba 0.6667 0.3333 0.3240  12 O 2.97-3.15
4 Sm 0.0000 0.0000 0.5000  6 O 2.30
5 Nb 0.3333 0.6667 0.1620  6 O 2.00-2.12
6 Nb 0.6667 0.3333 0.8380  6 O 2.00-2.12
7 O 0.0000 0.5000 0.0000  2 Nb 2.12
8 O 0.1761 0.3523 0.3152  1 Nb 2.00
9 O 0.1761 0.8239 0.3152  1 Nb 2.00
10 O 0.3523 0.1761 0.6848  1 Nb 2.00
11 O 0.5000 0.0000 0.0000  2 Nb 2.12
12 O 0.5000 0.5000 0.0000  2 Nb 2.12
13 O 0.6477 0.8239 0.3152  1 Nb 2.00
14 O 0.8239 0.1761 0.6848  1 Nb 2.00
15 O 0.8239 0.6477 0.6848  1 Nb 2.00

Record 7
BaNbSnO6: relaxed, PBE-GGA.

Results
Uncorrected energy, eV/cell: -129.50
Raw formation energy, eV per atom: -2.11
D(E_F), states/eV/f.u.: 6.80

Cell lengths 5.5762, 5.5762, 11.1672 Å; angles 90.00, 90.00, 120.00 degrees
Last column: nearest neighbours and their distance in Å.
Element x y z (fractional)
1 Ba 0.0000 0.0000 0.0000  6 O 2.76
2 Ba 0.0000 0.0000 0.5000  6 O 2.76
3 Nb 0.3333 0.6667 0.2500  6 O 2.02
4 Nb 0.6667 0.3333 0.7500  6 O 2.02
5 Sn 0.3333 0.6667 0.7500  6 O 2.08
6 Sn 0.6667 0.3333 0.2500  6 O 2.08
7 O 0.0085 0.3992 0.1488  1 Nb 2.02, 1 Sn 2.08
8 O 0.0085 0.6093 0.3512  1 Nb 2.02, 1 Sn 2.08
9 O 0.3907 0.3992 0.3512  1 Nb 2.02, 1 Sn 2.08
10 O 0.3907 0.9915 0.1488  1 Nb 2.02, 1 Sn 2.08
11 O 0.3992 0.0085 0.6488  1 Nb 2.02, 1 Sn 2.08
12 O 0.3992 0.3907 0.8512  1 Nb 2.02, 1 Sn 2.08
13 O 0.6008 0.6093 0.1488  1 Nb 2.02, 1 Sn 2.08
14 O 0.6008 0.9915 0.3512  1 Nb 2.02, 1 Sn 2.08
15 O 0.6093 0.0085 0.8512  1 Nb 2.02, 1 Sn 2.08
16 O 0.6093 0.6008 0.6488  1 Nb 2.02, 1 Sn 2.08
17 O 0.9915 0.3907 0.6488  1 Nb 2.02, 1 Sn 2.08
18 O 0.9915 0.6008 0.8512  1 Nb 2.02, 1 Sn 2.08

Record 8
Ba2NbSnO: relaxed, PBE-GGA.

Results
Uncorrected energy, eV/cell: -24.85
Raw formation energy, eV per atom: -0.39
D(E_F), states/eV/f.u.: 5.49

Cell lengths 6.5938, 6.5938, 3.9431 Å; angles 90.00, 90.00, 90.00 degrees
Last column: nearest neighbours and their distance in Å.
Element x y z (fractional)
1 Ba 0.0000 0.5000 0.0000  2 Nb 3.30
2 Ba 0.5000 0.0000 0.0000  2 Nb 3.30
3 Nb 0.0000 0.0000 0.0000  2 O 1.97
4 Sn 0.5000 0.5000 0.5000  8 Ba 3.84, 2 Sn 3.94
5 O 0.0000 0.0000 0.5000  2 Nb 1.97

Record 9
Ba4Nb3SnO12: relaxed, PBE-GGA.

Results
Uncorrected energy, eV/cell: -152.96
Raw formation energy, eV per atom: -2.58
D(E_F), states/eV/f.u.: 7.49

Cell lengths 7.2189, 7.2189, 7.2189 Å; angles 109.47, 109.47, 109.47 degrees
Last column: nearest neighbours and their distance in Å.
Element x y z (fractional)
1 Ba 0.0000 0.0000 0.5000  12 O 2.95
2 Ba 0.0000 0.5000 0.0000  12 O 2.95
3 Ba 0.5000 0.0000 0.0000  12 O 2.95
4 Ba 0.5000 0.5000 0.5000  12 O 2.95
5 Nb 0.0000 0.5000 0.5000  6 O 2.08
6 Nb 0.5000 0.0000 0.5000  6 O 2.08
7 Nb 0.5000 0.5000 0.0000  6 O 2.08
8 Sn 0.0000 0.0000 0.0000  6 O 2.08
9 O 0.0000 0.2500 0.2500  1 Nb 2.08, 1 Sn 2.08
10 O 0.0000 0.7500 0.7500  1 Nb 2.08, 1 Sn 2.08
11 O 0.2500 0.0000 0.2500  1 Nb 2.08, 1 Sn 2.08
12 O 0.2500 0.2500 0.0000  1 Nb 2.08, 1 Sn 2.08
13 O 0.2500 0.5000 0.7500  2 Nb 2.08
14 O 0.2500 0.7500 0.5000  2 Nb 2.08
15 O 0.5000 0.2500 0.7500  2 Nb 2.08
16 O 0.5000 0.7500 0.2500  2 Nb 2.08
17 O 0.7500 0.0000 0.7500  1 Nb 2.08, 1 Sn 2.08
18 O 0.7500 0.2500 0.5000  2 Nb 2.08
19 O 0.7500 0.5000 0.2500  2 Nb 2.08
20 O 0.7500 0.7500 0.0000  1 Nb 2.08, 1 Sn 2.08

Record 10
BaNbSn2O8: relaxed, PBE-GGA.

Results
Uncorrected energy, eV/cell: -81.89
Raw formation energy, eV per atom: -1.85

Cell lengths 4.9590, 7.0769, 4.9682 Å; angles 90.00, 92.80, 90.00 degrees
Last column: nearest neighbours and their distance in Å.
Element x y z (fractional)
1 Ba 0.0000 0.0000 0.0000  6 O 2.53-2.55
2 Nb 0.0000 0.5000 0.0000  6 O 1.98-2.13
3 Sn 0.5000 0.2742 0.5000  6 O 2.03-2.22
4 Sn 0.5000 0.7258 0.5000  6 O 2.03-2.22
5 O 0.2055 0.3015 0.2030  1 Nb 1.98, 1 Sn 2.03
6 O 0.2055 0.6985 0.2030  1 Nb 1.98, 1 Sn 2.03
7 O 0.2955 0.5000 0.7020  1 Nb 2.13, 2 Sn 2.16
8 O 0.3479 0.0000 0.6452  1 O 2.14, 2 Sn 2.22
9 O 0.6521 0.0000 0.3548  1 O 2.14, 2 Sn 2.22
10 O 0.7045 0.5000 0.2980  1 Nb 2.13, 2 Sn 2.16
11 O 0.7945 0.3015 0.7970  1 Nb 1.98, 1 Sn 2.03
12 O 0.7945 0.6985 0.7970  1 Nb 1.98, 1 Sn 2.03

Record 11
Ba3Nb2SnO9: relaxed, PBE-GGA.

Results
Uncorrected energy, eV/cell: -112.81
Raw formation energy, eV per atom: -2.55

Cell lengths 5.9960, 5.9960, 7.7602 Å; angles 90.00, 90.00, 120.00 degrees
Last column: nearest neighbours and their distance in Å.
Element x y z (fractional)
1 Ba 0.0000 0.0000 0.0000  12 O 2.93-3.00
2 Ba 0.3333 0.6667 0.7013  9 O 2.89-3.00
3 Ba 0.6667 0.3333 0.2987  9 O 2.89-3.00
4 Nb 0.3333 0.6667 0.1672  6 O 1.93-2.16
5 Nb 0.6667 0.3333 0.8328  6 O 1.93-2.16
6 Sn 0.0000 0.0000 0.5000  6 O 2.40
7 O 0.0000 0.5000 0.0000  2 Nb 2.16
8 O 0.1741 0.3482 0.2964  1 Nb 1.93
9 O 0.1741 0.8259 0.2964  1 Nb 1.93
10 O 0.3482 0.1741 0.7036  1 Nb 1.93
11 O 0.5000 0.0000 0.0000  2 Nb 2.16
12 O 0.5000 0.5000 0.0000  2 Nb 2.16
13 O 0.6518 0.8259 0.2964  1 Nb 1.93
14 O 0.8259 0.1741 0.7036  1 Nb 1.93
15 O 0.8259 0.6518 0.7036  1 Nb 1.93

Record 12
Ba3SrNb2O9: relaxed, PBE-GGA.

Results
Excess energy over the best structure of this formula in the dataset, eV/atom: 0.000
Uncorrected energy, eV/cell: -229.89
Raw formation energy, eV per atom: -2.85
D(E_F), states/eV/f.u.: 0.00

Cell lengths 6.1510, 6.1510, 15.7352 Å; angles 90.00, 90.00, 120.00 degrees
Last column: nearest neighbours and their distance in Å.
Element x y z (fractional)
1 Ba 0.0000 0.0000 0.2500  9 O 2.78-3.06
2 Ba 0.0000 0.0000 0.7500  9 O 2.78-3.06
3 Ba 0.3333 0.6667 0.1238  6 O 2.71-2.83
4 Ba 0.3333 0.6667 0.3762  6 O 2.71-2.83
5 Ba 0.6667 0.3333 0.6238  6 O 2.71-2.83
6 Ba 0.6667 0.3333 0.8762  6 O 2.71-2.83
7 Sr 0.0000 0.0000 0.0000  6 O 2.48
8 Sr 0.0000 0.0000 0.5000  6 O 2.48
9 Nb 0.3333 0.6667 0.6539  3 O 1.92
10 Nb 0.3333 0.6667 0.8461  3 O 1.92
11 Nb 0.6667 0.3333 0.1539  3 O 1.92
12 Nb 0.6667 0.3333 0.3461  3 O 1.92
13 O 0.0415 0.4718 0.7500  2 Nb 2.19
14 O 0.1127 0.7592 0.5991  1 Nb 1.92
15 O 0.1127 0.7592 0.9009  1 Nb 1.92
16 O 0.2408 0.3534 0.5991  1 Nb 1.92
17 O 0.2408 0.3534 0.9009  1 Nb 1.92
18 O 0.3534 0.1127 0.0991  1 Nb 1.92
19 O 0.3534 0.1127 0.4009  1 Nb 1.92
20 O 0.4303 0.9585 0.7500  2 Nb 2.19
21 O 0.4718 0.4303 0.2500  2 Nb 2.19
22 O 0.5282 0.5697 0.7500  2 Nb 2.19
23 O 0.5697 0.0415 0.2500  2 Nb 2.19
24 O 0.6466 0.8873 0.5991  1 Nb 1.92
25 O 0.6466 0.8873 0.9009  1 Nb 1.92
26 O 0.7592 0.6466 0.0991  1 Nb 1.92
27 O 0.7592 0.6466 0.4009  1 Nb 1.92
28 O 0.8873 0.2408 0.0991  1 Nb 1.92
29 O 0.8873 0.2408 0.4009  1 Nb 1.92
30 O 0.9585 0.5282 0.2500  2 Nb 2.19